No. 1
Entry from Alexandria: Ba6Na2Si4O15 after structural relaxation (PBE).

Cell lengths 9.6515, 7.9711, 11.6861 Å; angles 90.00, 107.76, 90.00 degrees
Sites, in units of the cell vectors:
Ba 0.0033 0.0078 0.2749
Ba 0.0033 0.4922 0.7749
Ba 0.3317 0.0223 0.0830
Ba 0.3317 0.4777 0.5830
Ba 0.3410 0.5046 0.0863
Ba 0.3410 0.9954 0.5863
Ba 0.6590 0.0046 0.4137
Ba 0.6590 0.4954 0.9137
Ba 0.6683 0.5223 0.4170
Ba 0.6683 0.9777 0.9170
Ba 0.9967 0.5078 0.2251
Ba 0.9967 0.9922 0.7251
Na 0.3212 0.7479 0.8308
Na 0.3212 0.7521 0.3308
Na 0.6788 0.2479 0.6692
Na 0.6788 0.2521 0.1692
Si 0.0351 0.7097 0.5094
Si 0.0351 0.7903 0.0094
Si 0.3788 0.2439 0.8441
Si 0.3788 0.2561 0.3441
Si 0.6212 0.7439 0.6559
Si 0.6212 0.7561 0.1559
Si 0.9649 0.2097 0.9906
Si 0.9649 0.2903 0.4906
O 0.0000 0.0000 0.0000
O 0.0000 0.5000 0.5000
O 0.1199 0.1937 0.5241
O 0.1199 0.3063 0.0241
O 0.1292 0.7467 0.4172
O 0.1292 0.7533 0.9172
O 0.1374 0.7428 0.6473
O 0.1374 0.7572 0.1473
O 0.2823 0.0699 0.8240
O 0.2823 0.4301 0.3240
O 0.2896 0.0766 0.3169
O 0.2896 0.4234 0.8169
O 0.4864 0.2367 0.7559
O 0.4864 0.2633 0.2559
O 0.4874 0.2472 0.9861
O 0.4874 0.2528 0.4861
O 0.5126 0.7472 0.5139
O 0.5126 0.7528 0.0139
O 0.5136 0.7367 0.7441
O 0.5136 0.7633 0.2441
O 0.7104 0.5766 0.1831
O 0.7104 0.9234 0.6831
O 0.7177 0.5699 0.6760
O 0.7177 0.9301 0.1760
O 0.8626 0.2428 0.8527
O 0.8626 0.2572 0.3527
O 0.8708 0.2467 0.0828
O 0.8708 0.2533 0.5828
O 0.8801 0.6937 0.9759
O 0.8801 0.8063 0.4759

Properties
- total DFT energy (no corrections) (hartree per atom) = -0.254
- calculated volume (A^3/atom) = 15.9
- spin magnetization (μB/cell) = 0.000

***

No. 2
Entry from Alexandria: Tm2Sc3Tl4 after structural relaxation (PBE).

Cell lengths 5.0500, 5.0500, 10.2075 Å; angles 90.07, 90.07, 60.06 degrees
Sites, in units of the cell vectors:
Tm 0.1667 0.1667 0.2743
Tm 0.8333 0.8333 0.7257
Sc 0.1666 0.1666 0.9329
Sc 0.5000 0.5000 0.5000
Sc 0.8334 0.8334 0.0671
Tl 0.1666 0.1666 0.6044
Tl 0.4999 0.4999 0.1532
Tl 0.5001 0.5001 0.8468
Tl 0.8334 0.8334 0.3956

Properties
- energy above the lowest structure with this stoichiometry (meV/atom) = 0.0
- calculated volume (A^3/atom) = 25.1
- energy relative to the elements (eV/atom) = -0.2491
- spin magnetization (μB/cell) = 0.000

***

No. 3
Entry from Alexandria: CdHg2Bi after structural relaxation (PBE).

Cell lengths 5.7156, 5.7156, 3.2924 Å; angles 90.00, 90.00, 90.00 degrees
Sites, in units of the cell vectors:
Cd 0.0000 0.0000 0.0000
Hg 0.0000 0.5000 0.5000
Hg 0.5000 0.0000 0.5000
Bi 0.5000 0.5000 0.0000

Properties
- calculated volume (A^3/atom) = 26.9
- energy relative to the elements (eV/atom) = 0.0852
- spin magnetization (μB/cell) = 0.000

***

No. 4
Entry from Alexandria: MgRhN3 after structural relaxation (PBE).

Cell lengths 3.8243, 3.8243, 3.8243 Å; angles 90.00, 90.00, 90.00 degrees
Sites, in units of the cell vectors:
Mg 0.0000 0.0000 0.0000
Rh 0.5000 0.5000 0.5000
N 0.0000 0.0000 0.5000
N 0.0000 0.5000 0.0000
N 0.5000 0.0000 0.0000

Properties
- total DFT energy (no corrections) (hartree per atom) = -0.174
- calculated volume (A^3/atom) = 11.2
- spin magnetization (μB/cell) = 1.494

***

No. 5
Entry from Alexandria: Na3PbAu after structural relaxation (PBE).

Cell lengths 7.2337, 7.2337, 7.4984 Å; angles 117.70, 117.70, 79.74 degrees
Sites, in units of the cell vectors:
Na 0.0571 0.0571 0.3441
Na 0.0774 0.4714 0.2379
Na 0.4714 0.0774 0.2379
Na 0.5286 0.9226 0.7621
Na 0.9226 0.5286 0.7621
Na 0.9429 0.9429 0.6559
Pb 0.4319 0.4319 0.7029
Pb 0.5681 0.5681 0.2971
Au 0.2699 0.2699 0.8936
Au 0.7301 0.7301 0.1064

Properties
- energy above the lowest structure with this stoichiometry (meV/atom) = 60.5
- calculated volume (A^3/atom) = 30.7
- energy relative to the elements (eV/atom) = -0.1425
- spin magnetization (μB/cell) = 0.000

***

No. 6
Entry from Alexandria: ZnCo3B after structural relaxation (PBE).

Cell lengths 4.2800, 4.2800, 4.2800 Å; angles 90.00, 90.00, 90.00 degrees
Sites, in units of the cell vectors:
Zn 0.0000 0.0000 0.0000
Co 0.0000 0.0000 0.5000
Co 0.0000 0.5000 0.0000
Co 0.5000 0.0000 0.0000
B 0.5000 0.5000 0.5000

Properties
- energy above the lowest structure with this stoichiometry (meV/atom) = 1975.6
- calculated volume (A^3/atom) = 15.7
- energy relative to the elements (eV/atom) = 1.9691
- spin magnetization (μB/cell) = 4.889

***

No. 7
Entry from Alexandria: Dy3Si2GePt9 after structural relaxation (PBE).

Cell lengths 6.4151, 6.4151, 8.7127 Å; angles 90.00, 90.00, 120.00 degrees
Sites, in units of the cell vectors:
Dy 0.0000 0.0000 0.0000
Dy 0.3333 0.6667 0.7235
Dy 0.6667 0.3333 0.2765
Si 0.3333 0.6667 0.1855
Si 0.6667 0.3333 0.8145
Ge 0.0000 0.0000 0.5000
Pt 0.0000 0.5000 0.0000
Pt 0.1431 0.2862 0.2789
Pt 0.1431 0.8569 0.2789
Pt 0.2862 0.1431 0.7211
Pt 0.5000 0.0000 0.0000
Pt 0.5000 0.5000 0.0000
Pt 0.7138 0.8569 0.2789
Pt 0.8569 0.1431 0.7211
Pt 0.8569 0.7138 0.7211

Properties
- total DFT energy (no corrections) (hartree per atom) = -0.232
- calculated volume (A^3/atom) = 20.7
- spin magnetization (μB/cell) = 0.000

***

No. 8
Entry from Alexandria: Nd3AsO6 after structural relaxation (PBE).

Cell lengths 7.3918, 7.3918, 6.1082 Å; angles 90.00, 90.00, 102.86 degrees
Sites, in units of the cell vectors:
Nd 0.0974 0.9026 0.5000
Nd 0.1951 0.4123 0.4628
Nd 0.4123 0.1951 0.9628
Nd 0.5877 0.8049 0.4628
Nd 0.8049 0.5877 0.9628
Nd 0.9026 0.0974 0.0000
As 0.3260 0.6740 0.9106
As 0.6740 0.3260 0.4106
O 0.0978 0.6024 0.7828
O 0.1515 0.1742 0.7336
O 0.1742 0.1515 0.2336
O 0.2797 0.7203 0.3703
O 0.3976 0.9022 0.7828
O 0.4590 0.5410 0.7369
O 0.5410 0.4590 0.2369
O 0.6024 0.0978 0.2828
O 0.7203 0.2797 0.8703
O 0.8258 0.8485 0.7336
O 0.8485 0.8258 0.2336
O 0.9022 0.3976 0.2828

Properties
- total DFT energy (no corrections) (hartree per atom) = -0.283
- calculated volume (A^3/atom) = 16.3
- spin magnetization (μB/cell) = 0.000

***

No. 9
Entry from Alexandria: BaZnAg5 after structural relaxation (PBE).

Cell lengths 9.0527, 6.0243, 11.3862 Å; angles 90.00, 90.00, 90.00 degrees
Sites, in units of the cell vectors:
Ba 0.2377 0.2500 0.0622
Ba 0.2623 0.7500 0.5622
Ba 0.7377 0.2500 0.4378
Ba 0.7623 0.7500 0.9378
Zn 0.1564 0.7500 0.8581
Zn 0.3436 0.2500 0.3581
Zn 0.6564 0.7500 0.6419
Zn 0.8436 0.2500 0.1419
Ag 0.0602 0.0119 0.3044
Ag 0.0602 0.4881 0.3044
Ag 0.0785 0.7500 0.0896
Ag 0.1030 0.2500 0.5178
Ag 0.1827 0.2500 0.7636
Ag 0.3173 0.7500 0.2636
Ag 0.3970 0.7500 0.0178
Ag 0.4215 0.2500 0.5896
Ag 0.4398 0.5119 0.8044
Ag 0.4398 0.9881 0.8044
Ag 0.5602 0.0119 0.1956
Ag 0.5602 0.4881 0.1956
Ag 0.5785 0.7500 0.4104
Ag 0.6030 0.2500 0.9822
Ag 0.6827 0.2500 0.7364
Ag 0.8173 0.7500 0.2364
Ag 0.8970 0.7500 0.4822
Ag 0.9215 0.2500 0.9104
Ag 0.9398 0.5119 0.6956
Ag 0.9398 0.9881 0.6956

Properties
- calculated volume (A^3/atom) = 22.2
- energy relative to the elements (eV/atom) = -0.1160
- spin magnetization (μB/cell) = 0.000

***

No. 10
Entry from Alexandria: DyTmGe after structural relaxation (PBE).

Cell lengths 3.4403, 3.4403, 12.9297 Å; angles 90.00, 90.00, 90.00 degrees
Sites, in units of the cell vectors:
Dy 0.0000 0.0000 0.0000
Dy 0.5000 0.5000 0.5000
Tm 0.0000 0.0000 0.7153
Tm 0.5000 0.5000 0.2153
Ge 0.0000 0.0000 0.3557
Ge 0.5000 0.5000 0.8557

Properties
- calculated volume (A^3/atom) = 25.5
- energy relative to the elements (eV/atom) = -0.4413
- spin magnetization (μB/cell) = 0.000

***

No. 11
Entry from Alexandria: Ca2AcPm after structural relaxation (PBE).

Cell lengths 8.6245, 8.6245, 8.6245 Å; angles 90.00, 90.00, 90.00 degrees
Sites, in units of the cell vectors:
Ca 0.2500 0.2500 0.2500
Ca 0.2500 0.2500 0.7500
Ca 0.2500 0.7500 0.2500
Ca 0.2500 0.7500 0.7500
Ca 0.7500 0.2500 0.2500
Ca 0.7500 0.2500 0.7500
Ca 0.7500 0.7500 0.2500
Ca 0.7500 0.7500 0.7500
Ac 0.0000 0.0000 0.0000
Ac 0.0000 0.5000 0.5000
Ac 0.5000 0.0000 0.5000
Ac 0.5000 0.5000 0.0000
Pm 0.0000 0.0000 0.5000
Pm 0.0000 0.5000 0.0000
Pm 0.5000 0.0000 0.0000
Pm 0.5000 0.5000 0.5000

Properties
- energy above the lowest structure with this stoichiometry (meV/atom) = 72.0
- calculated volume (A^3/atom) = 40.1
- energy relative to the elements (eV/atom) = 0.1003
- spin magnetization (μB/cell) = 0.000

***

No. 12
Entry from Alexandria: CdCu2Br after structural relaxation (PBE).

Cell lengths 4.0564, 4.0564, 9.0899 Å; angles 90.00, 90.00, 90.00 degrees
Sites, in units of the cell vectors:
Cd 0.0000 0.0000 0.0000
Cd 0.5000 0.5000 0.5000
Cu 0.0000 0.5000 0.2500
Cu 0.0000 0.5000 0.7500
Cu 0.5000 0.0000 0.2500
Cu 0.5000 0.0000 0.7500
Br 0.0000 0.0000 0.5000
Br 0.5000 0.5000 0.0000

Properties
- energy above the lowest structure with this stoichiometry (meV/atom) = 395.8
- calculated volume (A^3/atom) = 18.7
- spin magnetization (μB/cell) = 0.000

***

What is the calculated volume in the first record?
15.9 A^3/atom

***

What is the calculated volume in the twelfth record?
18.7 A^3/atom